[1]
Compound: GdScPO
Source: the Open Quantum Materials Database
Functional: PBE-GGA
Structure: relaxed

Values from the calculation:
ΔE to the lowest computed polymorph = 43 meV per atom

abc: 4.1990 6.8338 5.7724
angles: 90.00 90.00 90.00
Element x y z (fractional)
Gd 0.0000 0.2020 0.4319
Gd 0.0000 0.7980 0.9319
O 0.5000 0.3409 0.3759
O 0.5000 0.6591 0.8759
P 0.0000 0.8013 0.4257
P 0.0000 0.1987 0.9257
Sc 0.5000 0.3851 0.0205
Sc 0.5000 0.6149 0.5205



[2]
Compound: NdReIr
Source: the Open Quantum Materials Database
Functional: PBE-GGA
Structure: relaxed

Values from the calculation:
DFT formation energy = 57.8 kJ/mol of atoms

abc: 4.5820 4.5820 4.5820
angles: 60.00 60.00 60.00
Element x y z (fractional)
Ir 0.0000 0.0000 0.0000
Nd 0.7500 0.7500 0.7500
Re 0.2500 0.2500 0.2500



[3]
Compound: MgCoSiPt
Source: the Open Quantum Materials Database
Functional: PBE-GGA
Structure: relaxed

Values from the calculation:
ΔE to the lowest computed polymorph = 0 meV per atom

abc: 4.2255 4.2255 4.2255
angles: 60.00 60.00 60.00
Element x y z (fractional)
Co 0.7500 0.7500 0.7500
Mg 0.5000 0.5000 0.5000
Pt 0.2500 0.2500 0.2500
Si 0.0000 0.0000 0.0000



no.,magnetization (μB per formula unit)
1,0.00
2,0.01
3,1.14